A plane-wave DFT calculation with GGA-PBE was carried out for an optimized crystal structure of CrRh2Pb.

Unit cell a=3.0877 b=3.0877 c=7.2258 alpha=90.00 beta=90.00 gamma=90.00
Closest atoms and distances in Å follow each position.
Fractional coordinates of all 4 atoms:
Cr (0.0000, 0.0000, 0.0000)  4 Rh 2.58
Rh (0.0000, 0.0000, 0.5703)  8 Rh 2.79-3.09, 4 Pb 2.87, 1 Cr 3.11
Rh (0.5000, 0.5000, 0.8106)  4 Cr 2.58, 4 Rh 2.79
Pb (0.5000, 0.5000, 0.3133)  4 Rh 2.87, 4 Pb 3.09, 4 Cr 3.15

## Properties
energy of formation from the pure elements = 0.329 eV per atom
N(E_F) = 1.31 states/eV per atom
E = -26.720 eV per formula unit
calculated volume = 69 Å³/f.u.
space-group type = P4mm, No. 99

---

A plane-wave DFT calculation with GGA-PBE was carried out for an optimized crystal structure of TlAg2HF6.

Unit cell a=5.3632 b=4.5290 c=12.4155 alpha=90.00 beta=106.57 gamma=90.00
Closest atoms and distances in Å follow each position.
Fractional coordinates of all 20 atoms:
Tl (0.0000, 0.0000, 0.0000)  6 F 2.16-2.41
Tl (0.0000, 0.5000, 0.5000)  6 F 2.16-2.41
Ag (0.2986, 0.1691, 0.7808)  3 F 2.31-2.53
Ag (0.2986, 0.3309, 0.2808)  3 F 2.31-2.53
Ag (0.7014, 0.6691, 0.7192)  3 F 2.31-2.53
Ag (0.7014, 0.8309, 0.2192)  3 F 2.31-2.53
H (0.5000, 0.0000, 0.5000)  2 F 1.16
H (0.5000, 0.5000, 0.0000)  2 F 1.16
F (0.0799, 0.7355, 0.3619)  1 Tl 2.16, 1 Ag 2.32
F (0.0799, 0.7645, 0.8619)  1 Tl 2.16, 1 Ag 2.32
F (0.2591, 0.7308, 0.6419)  1 Tl 2.18, 1 Ag 2.31
F (0.2591, 0.7692, 0.1419)  1 Tl 2.18, 1 Ag 2.31
F (0.3670, 0.2059, 0.4906)  1 H 1.16
F (0.3670, 0.2941, 0.9906)  1 H 1.16
F (0.6330, 0.7059, 0.0094)  1 H 1.16
F (0.6330, 0.7941, 0.5094)  1 H 1.16
F (0.7409, 0.2308, 0.8581)  1 Tl 2.18, 1 Ag 2.31
F (0.7409, 0.2692, 0.3581)  1 Tl 2.18, 1 Ag 2.31
F (0.9201, 0.2355, 0.1381)  1 Tl 2.16, 1 Ag 2.32
F (0.9201, 0.2645, 0.6381)  1 Tl 2.16, 1 Ag 2.32

## Properties
E = -36.618 eV per formula unit
calculated volume = 145 Å³/f.u.
space-group type = P2_1/c, No. 14

---

A plane-wave DFT calculation with GGA-PBE was carried out for an optimized crystal structure of BO2F2.

Unit cell a=4.2048 b=4.2048 c=3.1773 alpha=90.00 beta=90.00 gamma=90.00
Closest atoms and distances in Å follow each position.
Fractional coordinates of all 5 atoms:
B (0.0000, 0.0000, 0.0000)  8 F 2.64
O (0.5000, 0.5000, 0.0000)  2 O 1.59
O (0.5000, 0.5000, 0.5000)  2 O 1.59
F (0.0000, 0.5000, 0.5000)  2 O 2.10
F (0.5000, 0.0000, 0.5000)  2 O 2.10

## Properties
N(E_F) = 0.42 states/eV per atom
formation energy from raw total energies = 114.8 kJ/mol of atoms
E = -14.388 eV per formula unit
calculated volume = 56 Å³/f.u.
space-group type = P4/mmm, No. 123

---

Which of these has the lowest E?
TlAg2HF6